{
  "formula": "YZnIn2",
  "functional": "PBE",
  "state": "relaxed",
  "lattice": [[-1.773, 0.635, -3.947], [1.210, -4.031, -1.191], [-9.714, -5.596, 1.041]],
  "species": ["Y", "Y", "Zn", "Zn", "In", "In", "In", "In"],
  "fractional_positions": [[0.000, 0.000, 0.000], [0.750, 0.250, 0.500], [0.500, 0.500, 0.000], [0.250, 0.750, 0.500], [0.612, 0.125, 0.250], [0.138, 0.625, 0.250], [0.375, 0.388, 0.750], [0.875, 0.862, 0.750]],
  "e_tot_ev_per_cell": -26.87,
  "e_form_mev_per_atom": -55
}

=====

{
  "formula": "YZnIn2",
  "functional": "PBE",
  "state": "relaxed",
  "lattice": [[4.791, 0.000, 0.000], [0.000, 3.386, -0.066], [0.000, 0.127, 5.973]],
  "species": ["In", "In", "Y", "Zn"],
  "fractional_positions": [[0.000, 0.999, 0.984], [0.500, 0.001, 0.272], [0.000, 0.500, 0.508], [0.500, 0.999, 0.737]],
  "e_tot_ev_per_cell": -14.17,
  "e_form_mev_per_atom": -239
}

=====

{
  "formula": "YZnIn",
  "functional": "PBE",
  "state": "relaxed",
  "lattice": [[4.271, -0.004, 0.005], [0.005, 4.330, 0.007], [-2.151, -2.177, 7.638]],
  "species": ["Y", "Y", "Zn", "Zn", "In", "In"],
  "fractional_positions": [[0.311, 0.202, 0.237], [0.977, 0.869, 0.573], [0.136, 0.528, 0.889], [0.512, 0.404, 0.641], [0.637, 0.029, 0.892], [0.773, 0.664, 0.161]],
  "e_tot_ev_per_cell": -23.03,
  "e_form_mev_per_atom": -347
}